{"formula": "MoOsS", "functional": "PBE", "state": "relaxed", "lattice_angstrom": [[-1.263, 1.946, 3.803], [-1.200, -2.567, 0.915], [11.518, -3.565, 5.107]], "species": ["Mo", "Mo", "Mo", "Mo", "Os", "Os", "Os", "Os", "S", "S", "S", "S"], "fractional_positions": [[0.486, 0.000, 0.120], [0.486, 0.500, 0.620], [0.707, 0.000, 0.916], [0.707, 0.500, 0.416], [0.197, 0.000, 0.771], [0.197, 0.500, 0.271], [0.219, 0.000, 0.464], [0.219, 0.500, 0.964], [0.769, 0.000, 0.282], [0.769, 0.500, 0.782], [0.915, 0.000, 0.604], [0.915, 0.500, 0.104]], "raw_formation_energy_kj_per_mol_fu": 14, "dos_ef_per_ev_fu": 1.58, "spacegroup": "Cm, No. 8", "total_energy_ev_per_atom": -8.6798}